*i*
# RbBa3Na (PBE, optimized geometry)
data_RbBa3Na
_chemical_formula_sum 'Rb1 Ba3 Na1'
_cell_length_a 7.1618
_cell_length_b 7.1618
_cell_length_c 7.1618
_cell_angle_alpha 90.00
_cell_angle_beta 90.00
_cell_angle_gamma 90.00
_space_group_name_H-M_alt 'P 1'
_space_group_IT_number 1
_space_group_name_Hall 'P 1'
loop_
_atom_site_label
_atom_site_fract_x
_atom_site_fract_y
_atom_site_fract_z
Ba1 0.0000 0.5000 0.0000
Ba2 0.5000 0.0000 0.0000
Ba3 0.0000 0.0000 0.5000
Na1 0.0000 0.0000 0.0000
Rb1 0.5000 0.5000 0.5000
# D(E_F) (states/eV/cell): 7.07
# SG: No. 221

***

*ii*
# RbBa3Na (PBE, optimized geometry)
data_RbBa3Na
_chemical_formula_sum 'Rb1 Ba3 Na1'
_cell_length_a 7.1925
_cell_length_b 7.1925
_cell_length_c 7.1925
_cell_angle_alpha 90.00
_cell_angle_beta 90.00
_cell_angle_gamma 90.00
_space_group_name_H-M_alt 'P 1'
_space_group_IT_number 1
_space_group_name_Hall 'P 1'
loop_
_atom_site_label
_atom_site_fract_x
_atom_site_fract_y
_atom_site_fract_z
Na1 0.5000 0.5000 0.5000
Rb1 0.0000 0.0000 0.0000
Ba1 0.0000 0.5000 0.0000
Ba2 0.5000 0.0000 0.0000
Ba3 0.0000 0.0000 0.5000
# D(E_F) (states/eV/cell): 9.61
# SG: No. 221

***

Least stable: *ii*